Computed, not measured: a relaxed structure of AlZn2Rh at the GGA-PBE level of DFT.

It has space group P4/mmm (No. 123), with a = 3.737 Å, b = 3.737 Å, c = 4.037 Å, α = 90.00°, β = 90.00° and γ = 90.00°. The inequivalent atoms are Al at (0.000, 0.000, 0.000), Zn at (0.000, 0.500, 0.500) and Rh at (0.500, 0.500, 0.000).

As for the formation enthalpy at 0 K: -0.416 eV per atom. The calculation puts the total DFT energy (no corrections) at -3.827 eV per atom.


Computed, not measured: a relaxed structure of Pm3Dy3Hg2 at the GGA-PBE level of DFT.

It has space group Cmcm (No. 63), with a = 5.219 Å, b = 11.822 Å, c = 15.899 Å, α = 90.00°, β = 90.00° and γ = 90.00°. The inequivalent atoms are Pm at (0.000, 0.039, 0.108), Pm at (0.000, 0.284, 0.250), Dy at (0.000, 0.358, 0.034), Dy at (0.000, 0.430, 0.750) and Hg at (0.000, 0.230, 0.626).

As for the formation enthalpy at 0 K: -0.177 eV per atom. The calculation puts the total DFT energy (no corrections) at -3.760 eV per atom.


Computed, not measured: a relaxed structure of PmGaAg2S4 at the GGA-PBE level of DFT.

It has space group C2/c (No. 15), with a = 10.692 Å, b = 11.186 Å, c = 7.570 Å, α = 90.00°, β = 131.87° and γ = 90.00°. The inequivalent atoms are Pm at (0.250, 0.250, 0.000), Ga at (0.000, 0.000, 0.000), Ag at (0.000, 0.500, 0.000), Ag at (0.250, 0.250, 0.500), S at (0.007, 0.223, 0.502) and S at (0.230, 0.003, 0.432).

As for the uncorrected formation energy: -0.7275 eV/atom. The calculation puts the total DFT energy (no corrections) at -4.476 eV per atom.


Computed, not measured: a relaxed structure of TcAgBrO4 at the GGA-PBE level of DFT.

It has space group C2/m (No. 12), with a = 13.682 Å, b = 7.237 Å, c = 6.252 Å, α = 90.00°, β = 106.43° and γ = 90.00°. The inequivalent atoms are Tc at (0.142, 0.000, 0.258), Ag at (0.155, 0.500, 0.130), Br at (0.037, 0.500, 0.713), O at (0.018, 0.000, 0.267), O at (0.166, 0.198, 0.118) and O at (0.222, 0.000, 0.530).

As for the uncorrected formation energy: -0.9014 eV/atom. The calculation puts the total DFT energy (no corrections) at -5.862 eV per atom.


no.,volume (Å³ per cell),spin magnetization (μB/f.u.),mass density (g/cm³)
1,56.38,0.0,7.68
2,980.92,0.0,8.96
3,674.21,0.0,5.50
4,593.71,0.0,3.91